DFT (GGA-PBE) results for a geometry-optimized HfMgIn2 structure.

Values from the calculation:
Its crystal system is cubic. For the total moment, the calculation gives 0.00 μB/atom. For the total energy, the calculation gives -4.00 eV/atom.

abc: 5.056 5.056 5.056
angles: 60.00 60.00 60.00
Element x y z (fractional)
Hf 0.500 0.500 0.500
In 0.250 0.250 0.250
In 0.000 0.000 0.000
Mg 0.750 0.750 0.750

---

DFT (GGA-PBE) results for a geometry-optimized HfMgInNi structure.

Values from the calculation:
Its crystal system is cubic. For the total moment, the calculation gives 0.10 μB/atom. As for the distance to the lowest polymorph of the same formula: 193 meV/atom. For the total energy, the calculation gives -4.84 eV/atom.

abc: 4.686 4.686 4.686
angles: 60.00 60.00 60.00
Element x y z (fractional)
Ni 0.750 0.750 0.750
Mg 0.500 0.500 0.500
Hf 0.250 0.250 0.250
In 0.000 0.000 0.000

---

DFT (GGA-PBE) results for a geometry-optimized HfMgInNi structure.

Values from the calculation:
Its crystal system is cubic. For the total moment, the calculation gives 0.00 μB/atom. As for the distance to the lowest polymorph of the same formula: 0 meV/atom. For the total energy, the calculation gives -5.04 eV/atom.

abc: 4.639 4.639 4.639
angles: 60.00 60.00 60.00
Element x y z (fractional)
Ni 0.750 0.750 0.750
Mg 0.250 0.250 0.250
Hf 0.500 0.500 0.500
In 0.000 0.000 0.000

---

DFT (GGA-PBE) results for a geometry-optimized HfMg2ZrIn structure.

Values from the calculation:
Its crystal system is orthorhombic. For the total moment, the calculation gives 0.01 μB/atom. For the total energy, the calculation gives -4.86 eV/atom.

abc: 3.131 7.661 7.661
angles: 36.30 90.00 90.00
Element x y z (fractional)
Hf 0.000 0.607 0.607
Mg 0.500 0.797 0.797
In 0.500 0.001 0.001
Mg 0.500 0.202 0.202
Zr 0.000 0.394 0.394

---

DFT (GGA-PBE) results for a geometry-optimized Hf2In2Mo structure.

Values from the calculation:
Its crystal system is tetragonal. For the total moment, the calculation gives 0.00 μB/atom. As for the distance to the lowest polymorph of the same formula: 0 meV/atom. For the total energy, the calculation gives -6.58 eV/atom.

abc: 7.104 7.104 7.104
angles: 147.03 147.03 47.32
Element x y z (fractional)
Hf 0.250 0.750 0.500
Hf 0.750 0.250 0.500
Mo 0.000 0.000 0.000
In 0.404 0.404 0.000
In 0.596 0.596 0.000

---

DFT (GGA-PBE) results for a geometry-optimized Hf2In2Mo structure.

Values from the calculation:
Its crystal system is tetragonal. For the total moment, the calculation gives 0.00 μB/atom. As for the distance to the lowest polymorph of the same formula: 99 meV/atom. For the total energy, the calculation gives -6.48 eV/atom.

abc: 7.355 7.355 7.355
angles: 149.03 149.03 44.37
Element x y z (fractional)
Hf 0.408 0.408 0.000
In 0.750 0.250 0.500
Mo 0.000 0.000 0.000
In 0.250 0.750 0.500
Hf 0.592 0.592 0.000